# Fe3PtRh6 PBE optimized geometry
data_Fe3PtRh6
_symmetry_space_group_name_H-M 'P 1 21/m 1'
_symmetry_Int_Tables_number 11
_symmetry_space_group_name_Hall '-P 2yb'
_cell_length_a 8.398
_cell_length_b 3.825
_cell_length_c 8.565
_cell_angle_alpha 90.00
_cell_angle_beta 91.22
_cell_angle_gamma 90.00
loop_
_atom_site_label
_atom_site_fract_x
_atom_site_fract_y
_atom_site_fract_z
Fe1 0.049 0.250 0.400
Fe2 0.146 0.750 0.198
Fe3 0.246 0.250 0.997
Pt1 0.450 0.250 0.601
Rh1 0.048 0.750 0.900
Rh2 0.141 0.250 0.698
Rh3 0.237 0.750 0.495
Rh4 0.337 0.250 0.291
Rh5 0.347 0.750 0.803
Rh6 0.443 0.750 0.097
# Size of the total moment (Bohr magnetons per cell): 18.05
# Formation energy (eV per atom): -0.030